1.
# Na10B17C3 (PBE, relaxed)
data_Na10B17C3
_chemical_formula_sum 'Na10 B17 C3'
_symmetry_space_group_name_H-M 'P 3 m 1'
_symmetry_Int_Tables_number 156
_cell_length_a 2.9620
_cell_length_b 2.9620
_cell_length_c 43.0285
_cell_angle_alpha 90.00
_cell_angle_beta 90.00
_cell_angle_gamma 120.00
loop_
_symmetry_equiv_pos_as_xyz
'x,y,z'
'-y,x-y,z'
'-x+y,-x,z'
'-y,-x,z'
'-x+y,y,z'
'x,x-y,z'
loop_
_atom_site_label
_atom_site_fract_x
_atom_site_fract_y
_atom_site_fract_z
_atom_site_occupancy
Na1 0.0000 0.0000 0.0000 1
Na2 0.0000 0.0000 0.0979 1
Na3 0.0000 0.0000 0.1956 1
Na4 0.0000 0.0000 0.2964 1
Na5 0.0000 0.0000 0.3975 1
Na6 0.0000 0.0000 0.4982 1
Na7 0.0000 0.0000 0.5991 1
Na8 0.0000 0.0000 0.6997 1
Na9 0.0000 0.0000 0.7978 1
Na10 0.0000 0.0000 0.8988 1
B1 0.3333 0.6667 0.1466 1
B2 0.3333 0.6667 0.2461 1
B3 0.3333 0.6667 0.3471 1
B4 0.3333 0.6667 0.4479 1
B5 0.3333 0.6667 0.5486 1
B6 0.3333 0.6667 0.6494 1
B7 0.3333 0.6667 0.7487 1
B8 0.3333 0.6667 0.8482 1
B9 0.3333 0.6667 0.9495 1
B10 0.6667 0.3333 0.0490 1
B11 0.6667 0.3333 0.2461 1
B12 0.6667 0.3333 0.3471 1
B13 0.6667 0.3333 0.4479 1
B14 0.6667 0.3333 0.5486 1
B15 0.6667 0.3333 0.6494 1
B16 0.6667 0.3333 0.8482 1
B17 0.6667 0.3333 0.9495 1
C1 0.3333 0.6667 0.0491 1
C2 0.6667 0.3333 0.1466 1
C3 0.6667 0.3333 0.7487 1
# Distance to the lowest polymorph of the same formula in eV per formula unit: 1.37
# DOS at the Fermi energy in states/eV/f.u.: 12.08
# Formation energy in eV/f.u.: 7.5

---

2.
# YGePd (PBE, relaxed)
data_YGePd
_chemical_formula_sum 'Y4 Ge4 Pd4'
_symmetry_space_group_name_H-M 'C 1 2/m 1'
_symmetry_Int_Tables_number 12
_cell_length_a 10.5112
_cell_length_b 4.3479
_cell_length_c 7.0735
_cell_angle_alpha 90.00
_cell_angle_beta 132.22
_cell_angle_gamma 90.00
loop_
_symmetry_equiv_pos_as_xyz
'x,y,z'
'-x,-y,-z'
'-x,y,-z'
'x,-y,z'
'x+1/2,y+1/2,z'
'-x+1/2,-y+1/2,-z'
'-x+1/2,y+1/2,-z'
'x+1/2,-y+1/2,z'
loop_
_atom_site_label
_atom_site_fract_x
_atom_site_fract_y
_atom_site_fract_z
_atom_site_occupancy
Y1 0.0492 0.0000 0.3086 1
Ge1 0.1589 0.5000 0.0993 1
Pd1 0.1762 0.5000 0.7273 1
# DOS at the Fermi energy in states/eV/f.u.: 1.32
# Formation energy in eV/f.u.: -2.8

---

3.
# Nd2Zn3Cu2 (PBE, relaxed)
data_Nd2Zn3Cu2
_chemical_formula_sum 'Nd4 Zn6 Cu4'
_symmetry_space_group_name_H-M 'C 1 2/m 1'
_symmetry_Int_Tables_number 12
_cell_length_a 10.0851
_cell_length_b 4.2900
_cell_length_c 6.9099
_cell_angle_alpha 90.00
_cell_angle_beta 114.74
_cell_angle_gamma 90.00
loop_
_symmetry_equiv_pos_as_xyz
'x,y,z'
'-x,-y,-z'
'-x,y,-z'
'x,-y,z'
'x+1/2,y+1/2,z'
'-x+1/2,-y+1/2,-z'
'-x+1/2,y+1/2,-z'
'x+1/2,-y+1/2,z'
loop_
_atom_site_label
_atom_site_fract_x
_atom_site_fract_y
_atom_site_fract_z
_atom_site_occupancy
Nd1 0.1460 0.0000 0.2718 1
Zn1 0.0000 0.5000 0.5000 1
Zn2 0.1227 0.5000 0.9288 1
Cu1 0.1386 0.0000 0.7145 1
# DOS at the Fermi energy in states/eV/f.u.: 4.22
# Formation energy in eV/f.u.: -2.0

---

4.
# AlZn2CuTe4 (PBE, relaxed)
data_AlZn2CuTe4
_chemical_formula_sum 'Al4 Zn8 Cu4 Te16'
_symmetry_space_group_name_H-M 'F m m 2'
_symmetry_Int_Tables_number 42
_symmetry_space_group_name_Hall 'F 2 -2'
_cell_length_a 8.6791
_cell_length_b 8.6795
_cell_length_c 12.2347
_cell_angle_alpha 90.00
_cell_angle_beta 90.00
_cell_angle_gamma 90.00
loop_
_atom_site_label
_atom_site_fract_x
_atom_site_fract_y
_atom_site_fract_z
_atom_site_occupancy
Al1 0.0000 0.0000 0.0000 1
Zn1 0.2500 0.2500 0.2498 1
Cu1 0.0000 0.0000 0.4996 1
Te1 0.0000 0.2462 0.3778 1
Te2 0.2459 0.0000 0.6218 1
# Formation energy from raw total energies in kcal/mol of atoms: -9.32

---

5.
# AcBr (PBE, relaxed)
data_AcBr
_chemical_formula_sum 'Ac4 Br4'
_symmetry_space_group_name_H-M 'F m -3 m'
_symmetry_Int_Tables_number 225
_symmetry_space_group_name_Hall '-F 4 2 3'
_cell_length_a 6.3801
_cell_length_b 6.3801
_cell_length_c 6.3801
_cell_angle_alpha 90.00
_cell_angle_beta 90.00
_cell_angle_gamma 90.00
loop_
_atom_site_label
_atom_site_fract_x
_atom_site_fract_y
_atom_site_fract_z
_atom_site_occupancy
Ac1 0.0000 0.0000 0.0000 1
Br1 0.0000 0.0000 0.5000 1
# Distance to the lowest polymorph of the same formula in eV per formula unit: 0.32
# DOS at the Fermi energy in states/eV/f.u.: 1.43
# Formation energy from raw total energies in kcal/mol of atoms: -24.09

---

6.
# RbHgBi (PBE, relaxed)
data_RbHgBi
_chemical_formula_sum 'Rb1 Hg1 Bi1'
_symmetry_space_group_name_H-M 'P -6 m 2'
_symmetry_Int_Tables_number 187
_symmetry_space_group_name_Hall 'P -6 2'
_cell_length_a 5.7031
_cell_length_b 5.7031
_cell_length_c 3.8112
_cell_angle_alpha 90.00
_cell_angle_beta 90.00
_cell_angle_gamma 120.00
loop_
_atom_site_label
_atom_site_fract_x
_atom_site_fract_y
_atom_site_fract_z
_atom_site_occupancy
Rb1 0.0000 0.0000 0.0000 1
Hg1 0.3333 0.6667 0.5000 1
Bi1 0.6667 0.3333 0.5000 1
# DOS at the Fermi energy in states/eV/f.u.: 1.38
# Formation energy in eV/f.u.: -0.6

---

7.
# Mg2ZnFeS (PBE, relaxed)
data_Mg2ZnFeS
_chemical_formula_sum 'Mg2 Zn1 Fe1 S1'
_symmetry_space_group_name_H-M 'P 4/m m m'
_symmetry_Int_Tables_number 123
_symmetry_space_group_name_Hall '-P 4 2'
_cell_length_a 4.8092
_cell_length_b 4.8092
_cell_length_c 4.1395
_cell_angle_alpha 90.00
_cell_angle_beta 90.00
_cell_angle_gamma 90.00
loop_
_atom_site_label
_atom_site_fract_x
_atom_site_fract_y
_atom_site_fract_z
_atom_site_occupancy
Mg1 0.0000 0.5000 0.0000 1
Zn1 0.0000 0.0000 0.5000 1
Fe1 0.5000 0.5000 0.5000 1
S1 0.5000 0.5000 0.0000 1
# DOS at the Fermi energy in states/eV/f.u.: 4.22
# Formation energy from raw total energies in kcal/mol of atoms: 1.74

---

8.
# Pr5Nd6Th (PBE, relaxed)
data_Pr5Nd6Th
_chemical_formula_sum 'Pr10 Nd12 Th2'
_symmetry_space_group_name_H-M 'C 1 2/m 1'
_symmetry_Int_Tables_number 12
_cell_length_a 6.3995
_cell_length_b 11.0687
_cell_length_c 12.2165
_cell_angle_alpha 90.00
_cell_angle_beta 100.06
_cell_angle_gamma 90.00
loop_
_symmetry_equiv_pos_as_xyz
'x,y,z'
'-x,-y,-z'
'-x,y,-z'
'x,-y,z'
'x+1/2,y+1/2,z'
'-x+1/2,-y+1/2,-z'
'-x+1/2,y+1/2,-z'
'x+1/2,-y+1/2,z'
loop_
_atom_site_label
_atom_site_fract_x
_atom_site_fract_y
_atom_site_fract_z
_atom_site_occupancy
Pr1 0.0000 0.0000 0.0000 1
Pr2 0.0000 0.1665 0.5000 1
Pr3 0.0000 0.3335 0.0000 1
Nd1 0.2464 0.3359 0.7473 1
Nd2 0.2461 0.5000 0.2526 1
Th1 0.0000 0.5000 0.5000 1
# DOS at the Fermi energy in states/eV/f.u.: 19.19
# Formation energy in eV/f.u.: 0.4

---

So what do the calculations give for calculated density? Going down the list: 2.28 7.43 7.48 5.27 7.85 7.66 3.50 7.02 g/cm³.
So what do the calculations give for M_tot? Going down the list: 0.0 0.0 0.0 0.0 0.0 0.0 1.3 0.0 μB/cell.
So what do the calculations give for total energy? Going down the list: -4.895 -6.342 -3.361 -3.273 -3.935 -1.906 -3.335 -4.964 eV/atom.